Entry 1:
Here is an optimized crystal structure of BaSr2ZnCu from Alexandria via LeMat-Bulk. Energies are from PBE.

V in Å³/atom: 36.79
Crystal system: tetragonal
Energy of formation from the pure elements in eV/atom: 0.0672
Space group: P4/mmm, No. 123
Uncorrected energy in eV/atom: -2.064

Unit cell a=6.0832 b=6.0832 c=4.9711 alpha=90.00 beta=90.00 gamma=90.00
Fractional positions:
Sr 0.0000 0.5000 0.0000
Sr 0.5000 0.0000 0.0000
Zn 0.0000 0.0000 0.5000
Ba 0.5000 0.5000 0.5000
Cu 0.0000 0.0000 0.0000

Entry 2:
Here is an optimized crystal structure of BaSrZnCu from Alexandria via LeMat-Bulk. Energies are from PBE.

V in Å³/atom: 35.61
Crystal system: monoclinic
Energy of formation from the pure elements in eV/atom: -0.1431
Space group: Cm, No. 8
Uncorrected energy in eV/atom: -2.387

Unit cell a=4.4876 b=4.4876 c=8.5646 alpha=90.13 beta=105.06 gamma=119.99
Fractional positions:
Ba 0.3488 0.0395 0.3882
Sr 0.0063 0.8670 0.8733
Zn 0.8358 0.2825 0.1182
Cu 0.5013 0.6155 0.1168

Entry 3:
Here is an optimized crystal structure of Ba2SrZnCu from Alexandria via LeMat-Bulk. Energies are from PBE.

V in Å³/atom: 52.58
Crystal system: tetragonal
Energy of formation from the pure elements in eV/atom: 0.8890
Space group: P4/mmm, No. 123
Uncorrected energy in eV/atom: -1.290

Unit cell a=6.9408 b=5.4573 c=6.9408 alpha=90.00 beta=90.00 gamma=90.00
Fractional positions:
Sr 0.0000 0.0000 0.0000
Zn 0.0000 0.5000 0.0000
Ba 0.0000 0.0000 0.5000
Ba 0.5000 0.0000 0.0000
Cu 0.5000 0.5000 0.5000

Entry 4:
Here is an optimized crystal structure of Ba2TaCu from Alexandria via LeMat-Bulk. Energies are from PBE.

V in Å³/atom: 28.92
Crystal system: cubic
Energy of formation from the pure elements in eV/atom: 1.1024
Space group: F-43m, No. 216
Uncorrected energy in eV/atom: -3.846

Unit cell a=5.4690 b=5.4690 c=5.4690 alpha=60.00 beta=60.00 gamma=60.00
Fractional positions:
Ba 0.0000 0.0000 0.0000
Ba 0.2500 0.2500 0.2500
Cu 0.5000 0.5000 0.5000
Ta 0.7500 0.7500 0.7500

Entry 5:
Here is an optimized crystal structure of BaTaCu4 from Alexandria via LeMat-Bulk. Energies are from PBE.

V in Å³/atom: 17.31
Crystal system: cubic
Energy of formation from the pure elements in eV/atom: 0.5727
Space group: F-43m, No. 216
Uncorrected energy in eV/atom: -4.454

Unit cell a=5.2762 b=5.2762 c=5.2762 alpha=60.00 beta=60.00 gamma=60.00
Fractional positions:
Ba 0.0000 0.0000 0.0000
Ta 0.7500 0.7500 0.7500
Cu 0.3783 0.3783 0.8650
Cu 0.8650 0.3783 0.3783
Cu 0.3783 0.3783 0.3783
Cu 0.3783 0.8650 0.3783

Entry 6:
Here is an optimized crystal structure of Ba2TaCu from Alexandria via LeMat-Bulk. Energies are from PBE.

V in Å³/atom: 33.40
Crystal system: cubic
Energy of formation from the pure elements in eV/atom: 1.0458
Space group: Fm-3m, No. 225
Uncorrected energy in eV/atom: -3.903

Unit cell a=5.7383 b=5.7383 c=5.7383 alpha=60.00 beta=60.00 gamma=60.00
Fractional positions:
Ba 0.2500 0.2500 0.2500
Ba 0.7500 0.7500 0.7500
Cu 0.0000 0.0000 0.0000
Ta 0.5000 0.5000 0.5000